# PBE RbHf2Cd, optimized geometry
data_RbHf2Cd
_chemical_formula_sum 'Rb4 Hf8 Cd4'
_symmetry_space_group_name_H-M 'I -4 2 d'
_symmetry_Int_Tables_number 122
_symmetry_space_group_name_Hall 'I -4 2bw'
_cell_length_a 4.389
_cell_length_b 4.389
_cell_length_c 23.569
_cell_angle_alpha 90.00
_cell_angle_beta 90.00
_cell_angle_gamma 90.00
loop_
_atom_site_label
_atom_site_fract_x
_atom_site_fract_y
_atom_site_fract_z
Rb1 0.000 0.000 0.000
Hf1 0.226 0.250 0.625
Cd1 0.000 0.000 0.500
# Magnetization   0.0 Bohr magnetons per cell
# Theoretical density   8.1 g/cm3
# Fermi-level density of states   22.63 states/eV/cell
# Energy of formation from the pure elements   1063 meV per atom


# PBE Ca4Pt2Pb, optimized geometry
data_Ca4Pt2Pb
_chemical_formula_sum 'Ca16 Pt8 Pb4'
_symmetry_space_group_name_H-M 'C m c m'
_symmetry_Int_Tables_number 63
_symmetry_space_group_name_Hall '-C 2c 2'
_cell_length_a 5.228
_cell_length_b 9.059
_cell_length_c 15.348
_cell_angle_alpha 90.00
_cell_angle_beta 90.00
_cell_angle_gamma 90.00
loop_
_atom_site_label
_atom_site_fract_x
_atom_site_fract_y
_atom_site_fract_z
Ca1 0.000 0.000 0.000
Ca2 0.000 0.333 0.125
Ca3 0.000 0.334 0.750
Pt1 0.000 0.334 0.560
Pb1 0.000 0.001 0.750
# Magnetization   0.0 Bohr magnetons per cell
# Theoretical density   6.9 g/cm3
# Fermi-level density of states   1.32 states/eV/cell
# Energy of formation from the pure elements   -709 meV per atom


# PBE Zn4FeCu, optimized geometry
data_Zn4FeCu
_chemical_formula_sum 'Zn16 Fe4 Cu4'
_symmetry_space_group_name_H-M 'F -4 3 m'
_symmetry_Int_Tables_number 216
_symmetry_space_group_name_Hall 'F -4 2 3'
_cell_length_a 6.959
_cell_length_b 6.959
_cell_length_c 6.959
_cell_angle_alpha 90.00
_cell_angle_beta 90.00
_cell_angle_gamma 90.00
loop_
_atom_site_label
_atom_site_fract_x
_atom_site_fract_y
_atom_site_fract_z
Zn1 0.125 0.125 0.125
Fe1 0.000 0.000 0.500
Cu1 0.250 0.250 0.750
# Magnetization   10.4 Bohr magnetons per cell
# Theoretical density   7.5 g/cm3
# Fermi-level density of states   19.29 states/eV/cell
# Energy of formation from the pure elements   212 meV per atom


# PBE LaHBr3, optimized geometry
data_LaHBr3
_chemical_formula_sum 'La1 H1 Br3'
_symmetry_space_group_name_H-M 'P m -3 m'
_symmetry_Int_Tables_number 221
_symmetry_space_group_name_Hall '-P 4 2 3'
_cell_length_a 5.872
_cell_length_b 5.872
_cell_length_c 5.872
_cell_angle_alpha 90.00
_cell_angle_beta 90.00
_cell_angle_gamma 90.00
loop_
_atom_site_label
_atom_site_fract_x
_atom_site_fract_y
_atom_site_fract_z
La1 0.000 0.000 0.000
H1 0.500 0.500 0.500
Br1 0.000 0.000 0.500
# Magnetization   1.0 Bohr magnetons per cell
# Theoretical density   3.1 g/cm3
# Fermi-level density of states   0.00 states/eV/cell
# Total DFT energy (no corrections)   -3.75 eV per atom